<one>
Density functional theory data (GGA-PBE) for a geometry-optimized TlSbPd6 structure.

The space-group type is P-1. As for the volume: 141.35 Å³/cell. As for the density of states at the Fermi level: 0.504 states/eV/atom.

```
TlSbPd6
1.0
7.074 0.299 -0.238
3.818 6.655 -0.065
3.513 2.392 2.981
Tl Sb Pd
1 1 6
Direct
0.000 0.000 0.000
0.500 0.500 0.500
0.932 0.443 0.877
0.748 0.933 0.765
0.446 0.251 0.367
0.252 0.067 0.235
0.068 0.557 0.123
0.554 0.749 0.633
```

***

<two>
Density functional theory data (GGA-PBE) for a geometry-optimized TlSbPd6 structure.

The space-group type is P-6m2. As for the volume: 134.38 Å³/cell. As for the density of states at the Fermi level: 0.551 states/eV/atom.

```
TlSbPd6
1.0
-1.501 4.412 -0.319
-2.946 -1.347 -4.767
-2.506 -0.479 5.168
Tl Sb Pd
1 1 6
Direct
0.000 0.083 0.917
0.500 0.417 0.583
0.000 0.084 0.417
0.000 0.583 0.916
0.000 0.583 0.417
0.500 0.421 0.086
0.500 0.914 0.579
0.500 0.914 0.086
```

***

The data favor <two>; the next most stable structure lies 82 meV/atom above it.

***

<one>
Density functional theory data (GGA-PBE) for a geometry-optimized TlSb3Pd structure.

The space-group type is Pmn2_1. As for the volume: 269.45 Å³/cell. As for the density of states at the Fermi level: 0.330 states/eV/atom.

```
TlSb3Pd
1.0
-3.190 0.082 -5.389
5.042 -2.183 -3.018
-2.100 -6.432 1.145
Tl Sb Pd
2 6 2
Direct
0.461 0.396 0.701
0.961 0.956 0.201
0.349 0.307 0.201
0.458 0.894 0.954
0.958 0.459 0.454
0.849 0.046 0.701
0.958 0.459 0.948
0.458 0.894 0.448
0.153 0.745 0.701
0.653 0.608 0.201
```

***

<two>
Density functional theory data (GGA-PBE) for a geometry-optimized TlSb3Pd structure.

The space-group type is Pm-3m. As for the volume: 151.54 Å³/cell. As for the density of states at the Fermi level: 1.508 states/eV/atom.

```
TlSb3Pd
1.0
-3.609 3.904 -0.396
-3.695 -3.200 2.130
1.322 1.716 4.872
Sb Tl Pd
3 1 1
Direct
0.000 0.500 0.000
0.000 0.000 0.500
0.500 0.000 0.000
0.500 0.500 0.500
0.000 0.000 0.000
```

***

The data favor <one>; the next most stable structure lies 371 meV/atom above it.

***

<one>
Density functional theory data (GGA-PBE) for a geometry-optimized TmSbPd6 structure.

The space-group type is C2/m. As for the volume: 154.50 Å³/cell. As for the density of states at the Fermi level: 0.458 states/eV/atom.

```
TmSbPd6
1.0
4.852 0.740 0.093
1.103 4.783 0.093
1.815 1.684 6.956
Tm Sb Pd
1 1 6
Direct
0.500 0.500 0.500
0.000 0.000 0.000
0.068 0.550 0.298
0.550 0.068 0.298
0.450 0.932 0.702
0.932 0.450 0.702
0.347 0.347 0.944
0.653 0.653 0.056
```

***

<two>
Density functional theory data (GGA-PBE) for a geometry-optimized TmSbPd6 structure.

The space-group type is P4/mmm. As for the volume: 134.80 Å³/cell. As for the density of states at the Fermi level: 0.343 states/eV/atom.

```
TmSbPd6
1.0
4.101 0.000 0.000
0.000 5.733 -0.037
0.000 0.035 5.733
Tm Sb Pd
1 1 6
Direct
0.500 0.000 0.000
0.500 0.500 0.500
0.000 0.750 0.250
0.000 0.250 0.750
0.000 0.749 0.749
0.000 0.251 0.251
0.500 0.500 0.000
0.500 0.000 0.500
```

***

The data favor <two>; the next most stable structure lies 261 meV/atom above it.